1.
DFT (PBE) results for a relaxed structure of TiCuBr2.

Structure (POSCAR):
```
TiCuBr2
1.0
-2.175 -3.792 1.923
-0.510 -0.312 4.738
-4.323 0.473 1.973
Cu Br Ti
1 2 1
Direct
0.500 0.500 0.500
0.250 0.250 0.250
0.750 0.750 0.750
0.000 0.000 0.000
```

Energy relative to the lowest polymorph listed for this composition in meV/atom: 69
Uncorrected formation energy in eV/f.u.: 0.19

2.
DFT (PBE) results for a relaxed structure of Ti2CuBr.

Structure (POSCAR):
```
Ti2CuBr
1.0
-0.566 3.448 4.343
0.045 -4.363 3.470
5.543 -0.052 4.342
Cu Br Ti
2 2 4
Direct
0.500 0.500 0.000
0.250 0.750 0.500
0.000 0.000 0.000
0.750 0.250 0.500
0.588 0.125 0.250
0.162 0.625 0.250
0.375 0.412 0.750
0.875 0.838 0.750
```

Energy relative to the lowest polymorph listed for this composition in meV/atom: 300
Uncorrected formation energy in eV/f.u.: 1.95

3.
DFT (PBE) results for a relaxed structure of TiCuBr6.

Structure (POSCAR):
```
TiCuBr6
1.0
-0.003 2.892 -5.131
5.545 -2.952 -5.648
-0.975 -4.953 -6.003
Ti Cu Br
1 1 6
Direct
0.000 0.000 0.000
0.500 0.500 0.500
0.138 0.351 0.779
0.799 0.152 0.659
0.627 0.168 0.141
0.201 0.848 0.341
0.862 0.649 0.221
0.373 0.832 0.859
```

Energy relative to the lowest polymorph listed for this composition in meV/atom: 24
Uncorrected formation energy in eV/f.u.: -5.88

4.
DFT (PBE) results for a relaxed structure of TiCuBr6.

Structure (POSCAR):
```
TiCuBr6
1.0
-5.334 -4.413 -1.867
6.513 -0.105 -3.696
1.476 -1.827 6.537
Ti Cu Br
1 1 6
Direct
0.500 0.000 0.000
0.000 0.000 0.000
0.921 0.164 0.298
0.623 0.866 0.702
0.377 0.134 0.298
0.079 0.836 0.702
0.317 0.624 0.000
0.683 0.376 0.000
```

Energy relative to the lowest polymorph listed for this composition in meV/atom: 0
Uncorrected formation energy in eV/f.u.: -6.08

5.
DFT (PBE) results for a relaxed structure of TiCuBr3.

Structure (POSCAR):
```
TiCuBr3
1.0
-3.978 -0.181 -3.197
-1.760 -4.135 2.424
-2.675 2.991 3.159
Cu Br Ti
1 3 1
Direct
0.500 0.500 0.500
0.000 0.500 0.000
0.000 0.000 0.500
0.500 0.000 0.000
0.000 0.000 0.000
```

Energy relative to the lowest polymorph listed for this composition in meV/atom: 0
Uncorrected formation energy in eV/f.u.: -1.02

6.
DFT (PBE) results for a relaxed structure of TiCu2Br6.

Structure (POSCAR):
```
TiCu2Br6
1.0
-5.498 0.236 -2.944
1.786 -9.041 -3.719
-4.290 -3.973 8.036
Ti Cu Br
2 4 12
Direct
0.250 0.910 0.090
0.750 0.090 0.910
0.128 0.418 0.429
0.372 0.571 0.582
0.872 0.582 0.571
0.628 0.429 0.418
0.393 0.268 0.493
0.107 0.507 0.732
0.607 0.732 0.507
0.893 0.493 0.268
0.891 0.086 0.691
0.609 0.309 0.914
0.109 0.914 0.309
0.391 0.691 0.086
0.080 0.160 0.045
0.420 0.955 0.840
0.920 0.840 0.955
0.580 0.045 0.160
```

Energy relative to the lowest polymorph listed for this composition in meV/atom: 0
Uncorrected formation energy in eV/f.u.: -6.61